{"formula": "Na4CoO4", "functional": "GGA+U", "state": "relaxed", "cell": [[5.781, 0.000, 0.000], [1.938, 5.470, 0.000], [2.365, -0.582, 7.673]], "species": ["Na", "Na", "Na", "Na", "Na", "Na", "Na", "Na", "Co", "Co", "O", "O", "O", "O", "O", "O", "O", "O"], "fractional_positions": [[0.039, 0.228, 0.427], [0.192, 0.224, 0.013], [0.264, 0.718, 0.155], [0.400, 0.291, 0.633], [0.600, 0.709, 0.367], [0.736, 0.282, 0.845], [0.808, 0.776, 0.987], [0.961, 0.772, 0.573], [0.411, 0.777, 0.750], [0.589, 0.223, 0.250], [0.150, 0.010, 0.702], [0.250, 0.584, 0.880], [0.309, 0.466, 0.380], [0.424, 0.029, 0.208], [0.576, 0.971, 0.792], [0.691, 0.534, 0.620], [0.750, 0.416, 0.120], [0.850, 0.990, 0.298]], "crystal_system": "triclinic", "final_energy_ev_per_atom": -4.628}